ReAgBi2H | PBE-GGA | optimized geometry

- Total DFT energy (no corrections): -23.2 eV/cell
- Total magnetic moment: 0.0 μB/cell

Unit cell a=5.1454 b=3.5431 c=5.1454 alpha=90.00 beta=90.00 gamma=90.00
Positions (direct):
H1 0.0000 0.0000 0.0000
Re1 0.0000 0.5000 0.0000
Bi1 0.5000 0.0000 0.0000
Bi2 0.0000 0.0000 0.5000
Ag1 0.5000 0.5000 0.5000

***

Ag2BiHRh | PBE-GGA | optimized geometry

- Total DFT energy (no corrections): -19.4 eV/cell
- Total magnetic moment: 0.0 μB/cell

Unit cell a=4.7918 b=4.7918 c=3.5602 alpha=90.00 beta=90.00 gamma=90.00
Positions (direct):
Bi1 0.5000 0.5000 0.5000
H1 0.0000 0.0000 0.0000
Ag1 0.5000 0.0000 0.0000
Ag2 0.0000 0.5000 0.0000
Rh1 0.0000 0.0000 0.5000

***

SrAgBiH2 | PBE-GGA | optimized geometry

- Total DFT energy (no corrections): -14.0 eV/cell
- Total magnetic moment: 0.0 μB/cell

Unit cell a=4.4535 b=5.6240 c=4.4535 alpha=90.00 beta=90.00 gamma=90.00
Positions (direct):
Bi1 0.0000 0.5000 0.0000
Sr1 0.5000 0.5000 0.5000
H1 0.5000 0.0000 0.0000
H2 0.0000 0.0000 0.5000
Ag1 0.0000 0.0000 0.0000

***

Ti2AgBiH | PBE-GGA | optimized geometry

- Total DFT energy (no corrections): -18.8 eV/cell
- Total magnetic moment: 4.9 μB/cell

Unit cell a=5.4421 b=5.3505 c=5.4421 alpha=90.00 beta=90.00 gamma=90.00
Last column: magnetic moment on the atom in μB.
Positions (direct):
Ti1 0.5000 0.0000 0.0000  1.56
Ti2 0.0000 0.0000 0.5000  2.19
Bi1 0.0000 0.0000 0.0000  -0.04
H1 0.5000 0.5000 0.5000  -0.11
Ag1 0.0000 0.5000 0.0000  0.02

***

TlAgBi2H | PBE-GGA | optimized geometry

- Total DFT energy (no corrections): -15.2 eV/cell
- Total magnetic moment: 0.0 μB/cell

Unit cell a=5.9408 b=5.9408 c=3.4709 alpha=90.00 beta=90.00 gamma=90.00
Positions (direct):
H1 0.0000 0.0000 0.5000
Ag1 0.0000 0.0000 0.0000
Tl1 0.5000 0.5000 0.5000
Bi1 0.5000 0.0000 0.0000
Bi2 0.0000 0.5000 0.0000

***

Tl2AgBiH | PBE-GGA | optimized geometry

- Total DFT energy (no corrections): -13.8 eV/cell
- Total magnetic moment: 0.0 μB/cell

Unit cell a=5.9557 b=5.9557 c=3.5353 alpha=90.00 beta=90.00 gamma=90.00
Positions (direct):
Bi1 0.5000 0.5000 0.5000
Ag1 0.0000 0.0000 0.0000
Tl1 0.5000 0.0000 0.0000
Tl2 0.0000 0.5000 0.0000
H1 0.0000 0.0000 0.5000

***

YAg2BiH | PBE-GGA | optimized geometry

- Total DFT energy (no corrections): -20.6 eV/cell
- Total magnetic moment: 0.0 μB/cell

Unit cell a=4.5184 b=4.5184 c=4.6749 alpha=90.00 beta=90.00 gamma=90.00
Positions (direct):
Ag1 0.5000 0.0000 0.0000
Ag2 0.0000 0.5000 0.0000
Bi1 0.5000 0.5000 0.5000
Y1 0.0000 0.0000 0.5000
H1 0.0000 0.0000 0.0000

***

Hf2AgBi2 | PBE-GGA | optimized geometry

- Total DFT energy (no corrections): -59.7 eV/cell
- Total magnetic moment: 0.0 μB/cell
- Energy above the lowest structure with this stoichiometry: 103 meV/atom

Unit cell a=8.0640 b=8.0640 c=3.7921 alpha=90.00 beta=90.00 gamma=90.00
Positions (direct):
Bi1 0.1573 0.3427 0.0000
Bi2 0.6573 0.1573 0.0000
Bi3 0.3427 0.8427 0.0000
Bi4 0.8427 0.6573 0.0000
Hf1 0.8621 0.3621 0.5000
Hf2 0.3621 0.1379 0.5000
Hf3 0.1379 0.6379 0.5000
Hf4 0.6379 0.8621 0.5000
Ag1 0.5000 0.5000 0.0000
Ag2 0.0000 0.0000 0.0000

***

Hf3AgBi | PBE-GGA | optimized geometry

- Total DFT energy (no corrections): -32.8 eV/cell
- Total magnetic moment: 0.0 μB/cell
- Energy above the lowest structure with this stoichiometry: 0 meV/atom

Unit cell a=5.1198 b=5.1198 c=5.1198 alpha=90.00 beta=90.00 gamma=90.00
Positions (direct):
Bi1 0.5000 0.5000 0.5000
Ag1 0.0000 0.0000 0.0000
Hf1 0.0000 0.0000 0.5000
Hf2 0.0000 0.5000 0.0000
Hf3 0.5000 0.0000 0.0000

***

HfAgBi2 | PBE-GGA | optimized geometry

- Total DFT energy (no corrections): -38.8 eV/cell
- Total magnetic moment: 0.0 μB/cell

Unit cell a=8.1131 b=8.1131 c=6.6024 alpha=52.09 beta=52.09 gamma=90.00
Positions (direct):
Bi1 0.6170 0.1250 0.2500
Bi2 0.3750 0.3830 0.7500
Bi3 0.8750 0.8670 0.7500
Bi4 0.1330 0.6250 0.2500
Ag1 0.2500 0.7500 0.5000
Ag2 0.5000 0.5000 0.0000
Hf1 0.0000 0.0000 0.0000
Hf2 0.7500 0.2500 0.5000

***

HfAgBi | PBE-GGA | optimized geometry

- Total DFT energy (no corrections): -16.2 eV/cell
- Total magnetic moment: 0.0 μB/cell

Unit cell a=3.8542 b=4.6053 c=4.6053 alpha=120.00 beta=90.00 gamma=90.00
Positions (direct):
Hf1 0.0750 0.0000 0.0000
Bi1 0.6271 0.6667 0.3333
Ag1 0.2979 0.3333 0.6667

***

HfAgBi3 | PBE-GGA | optimized geometry

- Total DFT energy (no corrections): -22.0 eV/cell
- Total magnetic moment: 0.0 μB/cell
- Energy above the lowest structure with this stoichiometry: 0 meV/atom

Unit cell a=5.6203 b=5.6203 c=5.6203 alpha=90.00 beta=90.00 gamma=90.00
Positions (direct):
Bi1 0.5000 0.0000 0.0000
Bi2 0.0000 0.0000 0.5000
Bi3 0.0000 0.5000 0.0000
Ag1 0.5000 0.5000 0.5000
Hf1 0.0000 0.0000 0.0000